{"formula": "MgAl2Au", "functional": "PBE-GGA", "state": "relaxed", "dos_at_fermi_per_ev_fu": 1.021, "e_form_ev_per_atom": -0.21, "density_g_cm3": 6.5, "lattice_angstrom": [[4.566, -1.631, 0.000], [4.566, 1.631, 0.000], [-0.724, 0.000, 4.755]], "species": ["Mg", "Al", "Al", "Au"], "fractional_positions": [[0.000, 0.000, 0.000], [0.247, 0.247, 0.748], [0.753, 0.753, 0.252], [0.500, 0.500, 0.500]]}

=====

{"formula": "ScSiP2", "functional": "PBE-GGA", "state": "relaxed", "dos_at_fermi_per_ev_fu": 1.533, "density_g_cm3": 3.3, "e_form_raw_ev_per_atom": -0.310, "lattice_angstrom": [[3.495, 0.000, 0.000], [0.000, 3.621, 0.000], [0.000, 0.000, 5.326]], "species": ["Sc", "Si", "P", "P"], "fractional_positions": [[0.000, 0.000, 0.000], [0.000, 0.500, 0.500], [0.500, 0.000, 0.500], [0.500, 0.500, 0.000]]}

=====

{"formula": "La5GaTe4", "functional": "PBE-GGA", "state": "relaxed", "dos_at_fermi_per_ev_fu": 4.652, "density_g_cm3": 6.3, "e_form_raw_ev_per_atom": -1.409, "lattice_angstrom": [[-5.110, 5.110, 3.226], [5.110, -5.110, 3.226], [5.110, 5.110, -3.226]], "species": ["La", "La", "La", "La", "La", "Ga", "Te", "Te", "Te", "Te"], "fractional_positions": [[0.000, 0.000, 0.000], [0.212, 0.597, 0.810], [0.403, 0.212, 0.615], [0.597, 0.788, 0.385], [0.788, 0.403, 0.190], [0.500, 0.500, 0.000], [0.095, 0.303, 0.398], [0.303, 0.905, 0.207], [0.697, 0.095, 0.793], [0.905, 0.697, 0.602]]}

=====

{"formula": "Pm3Nd3Pt2", "functional": "PBE-GGA", "state": "relaxed", "dos_at_fermi_per_ev_fu": 10.119, "e_form_ev_per_atom": -0.53, "density_g_cm3": 8.4, "e_above_lowest_polymorph_mev_per_atom": 34.6, "lattice_angstrom": [[1.952, -6.789, 0.000], [1.952, 6.789, 0.000], [0.000, 0.000, 18.820]], "species": ["Pm", "Pm", "Pm", "Pm", "Pm", "Pm", "Nd", "Nd", "Nd", "Nd", "Nd", "Nd", "Pt", "Pt", "Pt", "Pt"], "fractional_positions": [[0.066, 0.934, 0.750], [0.169, 0.831, 0.057], [0.169, 0.831, 0.443], [0.831, 0.169, 0.557], [0.831, 0.169, 0.943], [0.934, 0.066, 0.250], [0.207, 0.793, 0.250], [0.444, 0.556, 0.090], [0.444, 0.556, 0.410], [0.556, 0.444, 0.590], [0.556, 0.444, 0.910], [0.793, 0.207, 0.750], [0.211, 0.789, 0.635], [0.211, 0.789, 0.865], [0.789, 0.211, 0.135], [0.789, 0.211, 0.365]]}

=====

{"formula": "AgSeOF2", "functional": "PBE-GGA", "state": "relaxed", "dos_at_fermi_per_ev_fu": 1.366, "density_g_cm3": 5.1, "e_form_raw_ev_per_atom": -0.641, "e_above_lowest_polymorph_mev_per_atom": 0.0, "lattice_angstrom": [[4.539, 0.000, 0.000], [0.000, 4.539, 0.000], [0.000, 0.000, 3.781]], "species": ["Ag", "Se", "O", "F", "F"], "fractional_positions": [[0.000, 0.000, 0.000], [0.500, 0.500, 0.500], [0.500, 0.500, 0.000], [0.000, 0.500, 0.500], [0.500, 0.000, 0.500]]}

=====

{"formula": "Tm3GaCu8", "functional": "PBE-GGA", "state": "relaxed", "dos_at_fermi_per_ev_fu": 8.118, "e_form_ev_per_atom": -0.24, "density_g_cm3": 9.5, "lattice_angstrom": [[2.554, 1.474, 8.398], [-2.554, 1.474, 8.398], [0.000, -2.949, 8.398]], "species": ["Tm", "Tm", "Tm", "Ga", "Cu", "Cu", "Cu", "Cu", "Cu", "Cu", "Cu", "Cu"], "fractional_positions": [[0.000, 0.000, 0.000], [0.127, 0.127, 0.127], [0.513, 0.513, 0.513], [0.637, 0.637, 0.637], [0.067, 0.567, 0.567], [0.070, 0.070, 0.563], [0.070, 0.563, 0.070], [0.317, 0.317, 0.317], [0.563, 0.070, 0.070], [0.567, 0.067, 0.567], [0.567, 0.567, 0.067], [0.818, 0.818, 0.818]]}

=====

{"formula": "ZrMo2Cl", "functional": "PBE-GGA", "state": "relaxed", "dos_at_fermi_per_ev_fu": 3.039, "density_g_cm3": 6.5, "e_form_raw_ev_per_atom": -0.067, "e_above_lowest_polymorph_mev_per_atom": 90.2, "lattice_angstrom": [[1.599, 0.923, 9.205], [-1.599, 0.923, 9.205], [0.000, -1.847, 9.205]], "species": ["Zr", "Mo", "Mo", "Cl"], "fractional_positions": [[0.000, 0.000, 0.000], [0.480, 0.480, 0.480], [0.752, 0.752, 0.752], [0.266, 0.266, 0.266]]}

=====

{"formula": "K2ErAs2O6", "functional": "PBE-GGA", "state": "relaxed", "dos_at_fermi_per_ev_fu": 1.507, "density_g_cm3": 4.3, "e_form_raw_ev_per_atom": -1.941, "lattice_angstrom": [[4.922, -2.980, 0.000], [4.922, 2.980, 0.000], [-3.119, 0.000, 6.460]], "species": ["K", "K", "Er", "As", "As", "O", "O", "O", "O", "O", "O"], "fractional_positions": [[0.209, 0.209, 0.176], [0.791, 0.791, 0.824], [0.000, 0.000, 0.500], [0.434, 0.434, 0.779], [0.566, 0.566, 0.221], [0.235, 0.709, 0.257], [0.247, 0.247, 0.585], [0.291, 0.765, 0.743], [0.709, 0.235, 0.257], [0.753, 0.753, 0.415], [0.765, 0.291, 0.743]]}

=====

{"formula": "Ac6TlHg3", "functional": "PBE-GGA", "state": "relaxed", "dos_at_fermi_per_ev_fu": 9.530, "e_form_ev_per_atom": -0.31, "density_g_cm3": 9.9, "lattice_angstrom": [[10.663, 0.000, 0.000], [0.000, 5.528, 0.000], [-3.623, 0.000, 12.349]], "species": ["Ac", "Ac", "Ac", "Ac", "Ac", "Ac", "Ac", "Ac", "Ac", "Ac", "Ac", "Ac", "Tl", "Tl", "Hg", "Hg", "Hg", "Hg", "Hg", "Hg"], "fractional_positions": [[0.009, 0.250, 0.392], [0.142, 0.750, 0.197], [0.224, 0.250, 0.007], [0.359, 0.250, 0.618], [0.359, 0.750, 0.848], [0.388, 0.250, 0.348], [0.612, 0.750, 0.652], [0.641, 0.250, 0.152], [0.641, 0.750, 0.382], [0.776, 0.750, 0.993], [0.858, 0.250, 0.803], [0.991, 0.750, 0.608], [0.431, 0.750, 0.128], [0.569, 0.250, 0.872], [0.041, 0.750, 0.889], [0.135, 0.250, 0.735], [0.270, 0.750, 0.469], [0.730, 0.250, 0.531], [0.865, 0.750, 0.265], [0.959, 0.250, 0.111]]}

=====

{"formula": "Mn6Se7", "functional": "PBE-GGA", "state": "relaxed", "dos_at_fermi_per_ev_fu": 6.405, "density_g_cm3": 4.9, "e_form_raw_ev_per_atom": 0.365, "lattice_angstrom": [[3.156, 1.822, 8.668], [-3.156, 1.822, 8.668], [0.000, -3.644, 8.668]], "species": ["Mn", "Mn", "Mn", "Mn", "Mn", "Mn", "Se", "Se", "Se", "Se", "Se", "Se", "Se"], "fractional_positions": [[0.086, 0.086, 0.086], [0.195, 0.195, 0.195], [0.333, 0.333, 0.333], [0.667, 0.667, 0.667], [0.805, 0.805, 0.805], [0.914, 0.914, 0.914], [0.063, 0.567, 0.567], [0.433, 0.433, 0.937], [0.433, 0.937, 0.433], [0.500, 0.500, 0.500], [0.567, 0.063, 0.567], [0.567, 0.567, 0.063], [0.937, 0.433, 0.433]]}

=====

{"formula": "Ca2MgInN", "functional": "PBE-GGA", "state": "relaxed", "dos_at_fermi_per_ev_fu": 3.514, "density_g_cm3": 3.6, "e_form_raw_ev_per_atom": -0.551, "lattice_angstrom": [[5.040, 0.000, 0.000], [0.000, 5.040, 0.000], [0.000, 0.000, 4.291]], "species": ["Ca", "Ca", "Mg", "In", "N"], "fractional_positions": [[0.000, 0.500, 0.000], [0.500, 0.000, 0.000], [0.000, 0.000, 0.500], [0.500, 0.500, 0.500], [0.000, 0.000, 0.000]]}

=====

{"formula": "LaTb5Pm2", "functional": "PBE-GGA", "state": "relaxed", "dos_at_fermi_per_ev_fu": 11.787, "e_form_ev_per_atom": 0.02, "density_g_cm3": 7.6, "e_above_lowest_polymorph_mev_per_atom": 0.0, "lattice_angstrom": [[7.216, 0.000, 0.000], [0.000, 14.446, 0.000], [0.000, 0.000, 5.104]], "species": ["La", "La", "Tb", "Tb", "Tb", "Tb", "Tb", "Tb", "Tb", "Tb", "Tb", "Tb", "Pm", "Pm", "Pm", "Pm"], "fractional_positions": [[0.000, 0.000, 0.000], [0.500, 0.500, 0.000], [0.000, 0.500, 0.000], [0.002, 0.252, 0.000], [0.249, 0.874, 0.500], [0.251, 0.374, 0.500], [0.498, 0.752, 0.000], [0.500, 0.000, 0.000], [0.502, 0.248, 0.000], [0.749, 0.626, 0.500], [0.751, 0.126, 0.500], [0.998, 0.748, 0.000], [0.248, 0.626, 0.500], [0.252, 0.126, 0.500], [0.748, 0.874, 0.500], [0.752, 0.374, 0.500]]}

=====

Copy entry 11 word for word.
{"formula": "Ca2MgInN", "functional": "PBE-GGA", "state": "relaxed", "dos_at_fermi_per_ev_fu": 3.514, "density_g_cm3": 3.6, "e_form_raw_ev_per_atom": -0.551, "lattice_angstrom": [[5.040, 0.000, 0.000], [0.000, 5.040, 0.000], [0.000, 0.000, 4.291]], "species": ["Ca", "Ca", "Mg", "In", "N"], "fractional_positions": [[0.000, 0.500, 0.000], [0.500, 0.000, 0.000], [0.000, 0.000, 0.500], [0.500, 0.500, 0.500], [0.000, 0.000, 0.000]]}